Arrangement 1

This record from Alexandria via LeMat-Bulk describes crystalline CaNdNiRh at its relaxed geometry. The functional is GGA-PBE.

```
data_CaNdNiRh
_symmetry_space_group_name_H-M 'P 1'
_symmetry_Int_Tables_number 1
_cell_length_a 4.075
_cell_length_b 4.146
_cell_length_c 5.709
_cell_angle_alpha 90.00
_cell_angle_beta 110.91
_cell_angle_gamma 90.00
loop_
_symmetry_equiv_pos_as_xyz
'x,y,z'
loop_
_atom_site_label
_atom_site_type_symbol
_atom_site_fract_x
_atom_site_fract_y
_atom_site_fract_z
Rh1 Rh 0.433 0.000 0.866
Ni1 Ni 0.566 0.500 0.132
Nd1 Nd 0.858 0.500 0.716
Ca1 Ca 0.143 0.000 0.286
```

Calculated values
**Space group**: No. 38
**Theoretical density**: 6.38 g/cm3

=====

Arrangement 2

This record from Alexandria via LeMat-Bulk describes crystalline CaNdNiRh at its relaxed geometry. The functional is GGA-PBE.

```
data_CaNdNiRh
_symmetry_space_group_name_H-M 'P 1'
_symmetry_Int_Tables_number 1
_cell_length_a 4.919
_cell_length_b 4.919
_cell_length_c 4.919
_cell_angle_alpha 60.00
_cell_angle_beta 60.00
_cell_angle_gamma 60.00
loop_
_symmetry_equiv_pos_as_xyz
'x,y,z'
loop_
_atom_site_label
_atom_site_type_symbol
_atom_site_fract_x
_atom_site_fract_y
_atom_site_fract_z
Ni1 Ni 0.250 0.250 0.250
Nd1 Nd 0.500 0.500 0.500
Ca1 Ca 0.000 0.000 0.000
Rh1 Rh 0.750 0.750 0.750
```

Calculated values
**Space group**: No. 216
**Theoretical density**: 6.83 g/cm3

=====

The winner here is arrangement 1, beating the second structure by 0.085 eV/atom.

=====

Arrangement 1

This record from Alexandria via LeMat-Bulk describes crystalline CaNdZnNi at its relaxed geometry. The functional is GGA-PBE.

```
data_CaNdZnNi
_symmetry_space_group_name_H-M 'P 1'
_symmetry_Int_Tables_number 1
_cell_length_a 4.046
_cell_length_b 4.038
_cell_length_c 6.209
_cell_angle_alpha 90.00
_cell_angle_beta 109.01
_cell_angle_gamma 90.00
loop_
_symmetry_equiv_pos_as_xyz
'x,y,z'
loop_
_atom_site_label
_atom_site_type_symbol
_atom_site_fract_x
_atom_site_fract_y
_atom_site_fract_z
Ni1 Ni 0.428 0.000 0.855
Nd1 Nd 0.862 0.500 0.724
Zn1 Zn 0.563 0.500 0.125
Ca1 Ca 0.148 0.000 0.296
```

Calculated values
**Space group**: No. 38
**Theoretical density**: 5.34 g/cm3

=====

Arrangement 2

This record from Alexandria via LeMat-Bulk describes crystalline CaNdZnNi at its relaxed geometry. The functional is GGA-PBE.

```
data_CaNdZnNi
_symmetry_space_group_name_H-M 'P 1'
_symmetry_Int_Tables_number 1
_cell_length_a 5.034
_cell_length_b 5.034
_cell_length_c 5.034
_cell_angle_alpha 60.00
_cell_angle_beta 60.00
_cell_angle_gamma 60.00
loop_
_symmetry_equiv_pos_as_xyz
'x,y,z'
loop_
_atom_site_label
_atom_site_type_symbol
_atom_site_fract_x
_atom_site_fract_y
_atom_site_fract_z
Nd1 Nd 0.000 0.000 0.000
Ni1 Ni 0.250 0.250 0.250
Zn1 Zn 0.750 0.750 0.750
Ca1 Ca 0.500 0.500 0.500
```

Calculated values
**Space group**: No. 216
**Theoretical density**: 5.68 g/cm3

=====

The winner here is arrangement 1, beating the second structure by 0.057 eV/atom.

=====

Arrangement 1

This record from Alexandria via LeMat-Bulk describes crystalline CaNdO at its relaxed geometry. The functional is GGA-PBE.

```
data_CaNdO
_symmetry_space_group_name_H-M 'P 1'
_symmetry_Int_Tables_number 1
_cell_length_a 4.042
_cell_length_b 8.023
_cell_length_c 12.359
_cell_angle_alpha 92.00
_cell_angle_beta 99.41
_cell_angle_gamma 90.00
loop_
_symmetry_equiv_pos_as_xyz
'x,y,z'
loop_
_atom_site_label
_atom_site_type_symbol
_atom_site_fract_x
_atom_site_fract_y
_atom_site_fract_z
Ca1 Ca 0.431 0.136 0.863
Ca2 Ca 0.060 0.346 0.120
Ca3 Ca 0.940 0.654 0.880
Ca4 Ca 0.569 0.864 0.137
O1 O 0.250 0.875 0.501
O2 O 0.749 0.625 0.499
O3 O 0.251 0.375 0.501
O4 O 0.750 0.125 0.499
Nd1 Nd 0.202 0.620 0.404
Nd2 Nd 0.202 0.120 0.404
Nd3 Nd 0.798 0.380 0.596
Nd4 Nd 0.798 0.880 0.596
```

Calculated values
**Space group**: No. 12
**Theoretical density**: 3.37 g/cm3

=====

Arrangement 2

This record from Alexandria via LeMat-Bulk describes crystalline CaNdO at its relaxed geometry. The functional is GGA-PBE.

```
data_CaNdO
_symmetry_space_group_name_H-M 'P 1'
_symmetry_Int_Tables_number 1
_cell_length_a 3.552
_cell_length_b 3.552
_cell_length_c 6.282
_cell_angle_alpha 90.00
_cell_angle_beta 90.00
_cell_angle_gamma 120.00
loop_
_symmetry_equiv_pos_as_xyz
'x,y,z'
loop_
_atom_site_label
_atom_site_type_symbol
_atom_site_fract_x
_atom_site_fract_y
_atom_site_fract_z
Ca1 Ca 0.000 0.000 0.114
O1 O 0.667 0.333 0.314
Nd1 Nd 0.333 0.667 0.571
```

Calculated values
**Space group**: No. 156
**Theoretical density**: 4.84 g/cm3

=====

The winner here is arrangement 1, beating the second structure by 0.064 eV/atom.